# Hf4SiPt PBE-GGA optimized geometry
data_Hf4SiPt
_cell_length_a 6.5693
_cell_length_b 6.5693
_cell_length_c 5.3836
_cell_angle_alpha 90.00
_cell_angle_beta 90.00
_cell_angle_gamma 90.00
_symmetry_space_group_name_H-M 'P 4/m c c'
_symmetry_Int_Tables_number 124
_symmetry_space_group_name_Hall '-P 4 2c'
loop_
_atom_site_label
_atom_site_fract_x
_atom_site_fract_y
_atom_site_fract_z
Hf1 0.1561 0.3377 0.0000
Si1 0.0000 0.0000 0.2500
Pt1 0.5000 0.5000 0.2500
# Raw total energy ... -111.29 eV/cell
# Total magnetization ... 0.0000 μB/atom
# E_form (uncorrected) ... -70.24 kJ/mol of atoms